[1]
Entry from Alexandria: an optimized crystal structure of TbGaAg2S4 (PBE).

- raw total energy (eV/cell) = -71.9
- spin magnetization (μB per formula unit) = 0.00
- formation energy without anion corrections (meV per atom) = -762
- SG = Imma

Lattice parameters (Å, degrees): 7.723 7.723 7.723 123.72 115.60 90.73
Fractional coordinates of all 16 atoms:
Tb: 0.000 0.000 0.000
Tb: 0.500 0.000 0.500
Ga: 0.500 0.000 0.000
Ga: 0.500 0.500 0.500
Ag: 0.000 0.000 0.500
Ag: 0.000 0.500 0.000
Ag: 0.000 0.500 0.500
Ag: 0.500 0.500 0.000
S: 0.237 0.236 0.499
S: 0.237 0.737 0.001
S: 0.297 0.748 0.549
S: 0.301 0.252 0.049
S: 0.699 0.748 0.951
S: 0.703 0.252 0.451
S: 0.763 0.263 0.999
S: 0.763 0.764 0.501



[2]
Entry from Alexandria: an optimized crystal structure of Ga2AgTeS6 (PBE).

- raw total energy (eV/cell) = -78.0
- spin magnetization (μB per formula unit) = 0.00
- formation energy without anion corrections (meV per atom) = -217
- SG = C2/c

Lattice parameters (Å, degrees): 8.193 8.193 6.911 98.61 98.61 83.45
Fractional coordinates of all 20 atoms:
Ga: 0.103 0.283 0.233
Ga: 0.283 0.103 0.733
Ga: 0.717 0.897 0.267
Ga: 0.897 0.717 0.767
Ag: 0.406 0.594 0.750
Ag: 0.594 0.406 0.250
Te: 0.238 0.762 0.250
Te: 0.762 0.238 0.750
S: 0.064 0.210 0.532
S: 0.140 0.586 0.900
S: 0.210 0.064 0.032
S: 0.296 0.482 0.359
S: 0.414 0.860 0.600
S: 0.482 0.296 0.859
S: 0.518 0.704 0.141
S: 0.586 0.140 0.400
S: 0.704 0.518 0.641
S: 0.790 0.936 0.968
S: 0.860 0.414 0.100
S: 0.936 0.790 0.468



[3]
Entry from Alexandria: an optimized crystal structure of Tm3GaAg3S8 (PBE).

- raw total energy (eV/cell) = -73.9
- spin magnetization (μB per formula unit) = 0.00
- formation energy without anion corrections (meV per atom) = -1058
- SG = C2/m

Lattice parameters (Å, degrees): 7.634 7.634 7.685 118.99 118.99 61.31
Fractional coordinates of all 15 atoms:
Tm: 0.000 0.000 0.000
Tm: 0.000 0.500 0.500
Tm: 0.500 0.000 0.500
Ga: 0.500 0.500 0.000
Ag: 0.000 0.500 0.000
Ag: 0.500 0.000 0.000
Ag: 0.500 0.500 0.500
S: 0.245 0.245 0.258
S: 0.268 0.731 0.229
S: 0.269 0.269 0.767
S: 0.269 0.732 0.771
S: 0.731 0.268 0.229
S: 0.731 0.731 0.233
S: 0.732 0.269 0.771
S: 0.755 0.755 0.742



[4]
Entry from Alexandria: an optimized crystal structure of YGaAg2S4 (PBE).

- raw total energy (eV/cell) = -76.8
- spin magnetization (μB per formula unit) = 0.00
- formation energy without anion corrections (meV per atom) = -838
- SG = P1

Lattice parameters (Å, degrees): 7.571 7.855 7.863 103.17 110.42 112.68
Fractional coordinates of all 16 atoms:
Y: 0.000 0.000 0.000
Y: 0.475 0.488 0.465
Ga: 0.050 0.956 0.544
Ga: 0.587 0.987 0.598
Ag: 0.097 0.590 0.198
Ag: 0.350 0.829 0.984
Ag: 0.613 0.404 0.023
Ag: 0.847 0.352 0.468
S: 0.043 0.292 0.281
S: 0.430 0.186 0.651
S: 0.447 0.200 0.184
S: 0.495 0.762 0.297
S: 0.549 0.798 0.783
S: 0.900 0.776 0.204
S: 0.968 0.718 0.680
S: 0.970 0.184 0.717